Below is a relaxed structure of BaAg2Sb2S6, with properties calculated at the GGA-PBE level.

Results
density of states at the Fermi level: 3.55 states/eV/cell
ΔE_f (raw): -0.401 eV/atom
spin magnetization: 0.0 Bohr magnetons per cell
energy: -45.04 eV per cell

a = 6.8070 Å, b = 6.9345 Å, c = 7.8478 Å
α = 78.61°, β = 74.63°, γ = 71.17°
Space group P-1 (No. 2)
Unique sites:
Ba1 0.0000 0.0000 0.0000 (multiplicity 1)
Ag1 0.4566 0.1489 0.7131 (multiplicity 2)
Sb1 0.0689 0.2446 0.4200 (multiplicity 2)
S1 0.0982 0.3794 0.7152 (multiplicity 2)
S2 0.2379 0.8704 0.5977 (multiplicity 2)
S3 0.3222 0.1588 0.1361 (multiplicity 2)